Record 1
Compound: Sc2ZnSiGe
Source: the Alexandria database
Functional: PBE
Structure: optimized geometry

The structure in CIF format:
```
data_Sc2ZnSiGe
_cell_length_a 5.025
_cell_length_b 4.402
_cell_length_c 5.025
_cell_angle_alpha 90.00
_cell_angle_beta 90.00
_cell_angle_gamma 90.00
_symmetry_space_group_name_H-M 'P 1'
_symmetry_Int_Tables_number 1
_symmetry_space_group_name_Hall 'P 1'
loop_
_atom_site_label
_atom_site_fract_x
_atom_site_fract_y
_atom_site_fract_z
Sc1 0.000 0.000 0.500
Sc2 0.500 0.000 0.000
Ge1 0.000 0.500 0.000
Si1 0.500 0.500 0.500
Zn1 0.000 0.000 0.000
```

Volume in Å³/f.u.: 111
Density of states at the Fermi level in states/eV/f.u.: 2.90
Final energy in eV per formula unit: -22.2
Energy relative to the elements, uncorrected in eV/f.u.: 1.73

---

Record 2
Compound: SmScGe
Source: the Alexandria database
Functional: PBE
Structure: optimized geometry

The structure in CIF format:
```
data_SmScGe
_cell_length_a 3.765
_cell_length_b 3.765
_cell_length_c 5.627
_cell_angle_alpha 109.55
_cell_angle_beta 109.55
_cell_angle_gamma 90.00
_symmetry_space_group_name_H-M 'P 1'
_symmetry_Int_Tables_number 1
_symmetry_space_group_name_Hall 'P 1'
loop_
_atom_site_label
_atom_site_fract_x
_atom_site_fract_y
_atom_site_fract_z
Sc1 0.649 0.649 0.298
Ge1 0.260 0.260 0.520
Sm1 0.941 0.941 0.881
```

Volume in Å³/f.u.: 70
Energy of formation from the pure elements in eV/atom: -0.393
Density of states at the Fermi level in states/eV/f.u.: 4.50
Final energy in eV per formula unit: -16.8

---

Record 3
Compound: SmScGe
Source: the Alexandria database
Functional: PBE
Structure: optimized geometry

The structure in CIF format:
```
data_SmScGe
_cell_length_a 4.291
_cell_length_b 4.291
_cell_length_c 8.477
_cell_angle_alpha 104.66
_cell_angle_beta 104.66
_cell_angle_gamma 90.00
_symmetry_space_group_name_H-M 'P 1'
_symmetry_Int_Tables_number 1
_symmetry_space_group_name_Hall 'P 1'
loop_
_atom_site_label
_atom_site_fract_x
_atom_site_fract_y
_atom_site_fract_z
Sm1 0.323 0.323 0.647
Sm2 0.677 0.677 0.353
Sc1 0.500 0.000 0.000
Sc2 0.000 0.500 0.000
Ge1 0.875 0.875 0.750
Ge2 0.125 0.125 0.250
```

Volume in Å³/f.u.: 73
Energy of formation from the pure elements in eV/atom: -0.726
Density of states at the Fermi level in states/eV/f.u.: 2.66
Final energy in eV per formula unit: -17.8

---

Record 4
Compound: SmScGe
Source: the Alexandria database
Functional: PBE
Structure: optimized geometry

The structure in CIF format:
```
data_SmScGe
_cell_length_a 5.651
_cell_length_b 6.814
_cell_length_c 12.550
_cell_angle_alpha 90.00
_cell_angle_beta 90.00
_cell_angle_gamma 90.00
_symmetry_space_group_name_H-M 'P 1'
_symmetry_Int_Tables_number 1
_symmetry_space_group_name_Hall 'P 1'
loop_
_atom_site_label
_atom_site_fract_x
_atom_site_fract_y
_atom_site_fract_z
Ge1 0.950 0.310 0.334
Ge2 0.950 0.310 0.666
Ge3 0.914 0.283 0.000
Ge4 0.414 0.717 0.500
Ge5 0.450 0.690 0.166
Ge6 0.450 0.690 0.834
Sc1 0.920 0.562 0.834
Sc2 0.920 0.562 0.166
Sc3 0.646 0.910 0.000
Sc4 0.420 0.438 0.334
Sc5 0.420 0.438 0.666
Sc6 0.146 0.090 0.500
Sm1 0.916 0.601 0.500
Sm2 0.641 0.955 0.334
Sm3 0.641 0.955 0.666
Sm4 0.416 0.399 0.000
Sm5 0.141 0.045 0.166
Sm6 0.141 0.045 0.834
```

Volume in Å³/f.u.: 81
Energy of formation from the pure elements in eV/atom: -0.455
Density of states at the Fermi level in states/eV/f.u.: 2.66
Final energy in eV per formula unit: -17.0

---

Record 5
Compound: SmScGe2
Source: the Alexandria database
Functional: PBE
Structure: optimized geometry

The structure in CIF format:
```
data_SmScGe2
_cell_length_a 3.917
_cell_length_b 5.698
_cell_length_c 7.878
_cell_angle_alpha 90.00
_cell_angle_beta 90.00
_cell_angle_gamma 90.00
_symmetry_space_group_name_H-M 'P 1'
_symmetry_Int_Tables_number 1
_symmetry_space_group_name_Hall 'P 1'
loop_
_atom_site_label
_atom_site_fract_x
_atom_site_fract_y
_atom_site_fract_z
Sm1 0.000 0.131 0.681
Sm2 0.000 0.869 0.181
Sc1 0.500 0.370 0.318
Sc2 0.500 0.630 0.818
Ge1 0.000 0.602 0.541
Ge2 0.000 0.398 0.041
Ge3 0.500 0.891 0.459
Ge4 0.500 0.109 0.959
```

Volume in Å³/f.u.: 88
Energy of formation from the pure elements in eV/atom: -0.792
Density of states at the Fermi level in states/eV/f.u.: 2.65
Final energy in eV per formula unit: -23.5

---

Record 6
Compound: SmScGe2
Source: the Alexandria database
Functional: PBE
Structure: optimized geometry

The structure in CIF format:
```
data_SmScGe2
_cell_length_a 4.490
_cell_length_b 4.490
_cell_length_c 5.849
_cell_angle_alpha 67.43
_cell_angle_beta 67.43
_cell_angle_gamma 60.00
_symmetry_space_group_name_H-M 'P 1'
_symmetry_Int_Tables_number 1
_symmetry_space_group_name_Hall 'P 1'
loop_
_atom_site_label
_atom_site_fract_x
_atom_site_fract_y
_atom_site_fract_z
Sc1 0.000 0.000 0.000
Ge1 0.736 0.736 0.792
Ge2 0.264 0.264 0.208
Sm1 0.500 0.500 0.500
```

Volume in Å³/f.u.: 92
Energy of formation from the pure elements in eV/atom: -0.689
Density of states at the Fermi level in states/eV/f.u.: 2.49
Final energy in eV per formula unit: -23.0

---

Record 7
Compound: SmScGe
Source: the Alexandria database
Functional: PBE
Structure: optimized geometry

The structure in CIF format:
```
data_SmScGe
_cell_length_a 4.801
_cell_length_b 4.801
_cell_length_c 4.801
_cell_angle_alpha 60.00
_cell_angle_beta 60.00
_cell_angle_gamma 60.00
_symmetry_space_group_name_H-M 'P 1'
_symmetry_Int_Tables_number 1
_symmetry_space_group_name_Hall 'P 1'
loop_
_atom_site_label
_atom_site_fract_x
_atom_site_fract_y
_atom_site_fract_z
Sc1 0.000 0.000 0.000
Ge1 0.250 0.250 0.250
Sm1 0.500 0.500 0.500
```

Volume in Å³/f.u.: 78
Energy of formation from the pure elements in eV/atom: -0.525
Density of states at the Fermi level in states/eV/f.u.: 2.84
Final energy in eV per formula unit: -17.2

---

Record 8
Compound: Sm5Sc4Ge4
Source: the Alexandria database
Functional: PBE
Structure: optimized geometry

The structure in CIF format:
```
data_Sm5Sc4Ge4
_cell_length_a 4.273
_cell_length_b 8.966
_cell_length_c 8.966
_cell_angle_alpha 86.74
_cell_angle_beta 76.21
_cell_angle_gamma 76.21
_symmetry_space_group_name_H-M 'P 1'
_symmetry_Int_Tables_number 1
_symmetry_space_group_name_Hall 'P 1'
loop_
_atom_site_label
_atom_site_fract_x
_atom_site_fract_y
_atom_site_fract_z
Sm1 0.702 0.926 0.670
Sm2 0.298 0.074 0.330
Sm3 0.000 0.000 0.000
Sm4 0.628 0.670 0.074
Sm5 0.372 0.330 0.926
Sc1 0.900 0.512 0.689
Sc2 0.588 0.311 0.512
Sc3 0.100 0.488 0.311
Sc4 0.412 0.689 0.488
Ge1 0.753 0.313 0.181
Ge2 0.247 0.687 0.819
Ge3 0.934 0.819 0.313
Ge4 0.066 0.181 0.687
```

Volume in Å³/f.u.: 324
Energy of formation from the pure elements in eV/atom: -0.611
Density of states at the Fermi level in states/eV/f.u.: 15.77
Final energy in eV per formula unit: -75.3

---

Record 9
Compound: SmScGe
Source: the Alexandria database
Functional: PBE
Structure: optimized geometry

The structure in CIF format:
```
data_SmScGe
_cell_length_a 4.293
_cell_length_b 4.293
_cell_length_c 7.903
_cell_angle_alpha 90.00
_cell_angle_beta 90.00
_cell_angle_gamma 90.00
_symmetry_space_group_name_H-M 'P 1'
_symmetry_Int_Tables_number 1
_symmetry_space_group_name_Hall 'P 1'
loop_
_atom_site_label
_atom_site_fract_x
_atom_site_fract_y
_atom_site_fract_z
Sm1 0.000 0.500 0.854
Sm2 0.500 0.000 0.146
Sc1 0.500 0.500 0.500
Sc2 0.000 0.000 0.500
Ge1 0.000 0.500 0.255
Ge2 0.500 0.000 0.745
```

Volume in Å³/f.u.: 73
Energy of formation from the pure elements in eV/atom: -0.701
Density of states at the Fermi level in states/eV/f.u.: 3.31
Final energy in eV per formula unit: -17.8

---

Record 10
Compound: SmScGe2
Source: the Alexandria database
Functional: PBE
Structure: optimized geometry

The structure in CIF format:
```
data_SmScGe2
_cell_length_a 4.239
_cell_length_b 3.927
_cell_length_c 5.699
_cell_angle_alpha 90.00
_cell_angle_beta 111.82
_cell_angle_gamma 90.00
_symmetry_space_group_name_H-M 'P 1'
_symmetry_Int_Tables_number 1
_symmetry_space_group_name_Hall 'P 1'
loop_
_atom_site_label
_atom_site_fract_x
_atom_site_fract_y
_atom_site_fract_z
Sm1 0.721 0.000 0.982
Sc1 0.447 0.500 0.433
Ge1 0.167 0.500 0.873
Ge2 0.996 0.000 0.531
```

Volume in Å³/f.u.: 88
Energy of formation from the pure elements in eV/atom: -0.799
Density of states at the Fermi level in states/eV/f.u.: 2.95
Final energy in eV per formula unit: -23.5

---

Record 11
Compound: Sm3ScGe6
Source: the Alexandria database
Functional: PBE
Structure: optimized geometry

The structure in CIF format:
```
data_Sm3ScGe6
_cell_length_a 7.698
_cell_length_b 7.698
_cell_length_c 7.698
_cell_angle_alpha 97.71
_cell_angle_beta 97.71
_cell_angle_gamma 97.71
_symmetry_space_group_name_H-M 'P 1'
_symmetry_Int_Tables_number 1
_symmetry_space_group_name_Hall 'P 1'
loop_
_atom_site_label
_atom_site_fract_x
_atom_site_fract_y
_atom_site_fract_z
Sm1 0.182 0.750 0.318
Sm2 0.318 0.182 0.750
Sm3 0.250 0.682 0.818
Sm4 0.750 0.318 0.182
Sm5 0.682 0.818 0.250
Sm6 0.818 0.250 0.682
Sc1 0.000 0.000 0.000
Sc2 0.500 0.500 0.500
Ge1 0.912 0.631 0.986
Ge2 0.014 0.088 0.369
Ge3 0.131 0.412 0.486
Ge4 0.369 0.014 0.088
Ge5 0.412 0.486 0.131
Ge6 0.514 0.869 0.588
Ge7 0.486 0.131 0.412
Ge8 0.588 0.514 0.869
Ge9 0.631 0.986 0.912
Ge10 0.869 0.588 0.514
Ge11 0.986 0.912 0.631
Ge12 0.088 0.369 0.014
```

Volume in Å³/f.u.: 221
Energy of formation from the pure elements in eV/atom: -0.698
Density of states at the Fermi level in states/eV/f.u.: 5.91
Final energy in eV per formula unit: -55.2

---

Record 12
Compound: SmSc2Zn2Ge2
Source: the Alexandria database
Functional: PBE
Structure: optimized geometry

The structure in CIF format:
```
data_SmSc2Zn2Ge2
_cell_length_a 4.294
_cell_length_b 4.294
_cell_length_c 9.219
_cell_angle_alpha 76.53
_cell_angle_beta 76.53
_cell_angle_gamma 60.00
_symmetry_space_group_name_H-M 'P 1'
_symmetry_Int_Tables_number 1
_symmetry_space_group_name_Hall 'P 1'
loop_
_atom_site_label
_atom_site_fract_x
_atom_site_fract_y
_atom_site_fract_z
Sm1 0.000 0.000 0.000
Sc1 0.133 0.133 0.601
Sc2 0.867 0.867 0.399
Zn1 0.595 0.595 0.215
Zn2 0.405 0.405 0.785
Ge1 0.748 0.748 0.755
Ge2 0.252 0.252 0.245
```

Volume in Å³/f.u.: 142
Energy of formation from the pure elements in eV/atom: -0.414
Density of states at the Fermi level in states/eV/f.u.: 6.48
Final energy in eV per formula unit: -32.1

---

Look up the final energy of the second one.
-16.8 eV per formula unit

---

Among the records above, which one has the highest density of states at the Fermi level?
Sm5Sc4Ge4

---

The lowest density of states at the Fermi level belongs to which entry?
number 6